Crystalline AcErScSe3 at its relaxed geometry, computed with GGA-PBE.

```
12
Lattice="8.150 0.000 0.000 0.000 4.123 0.000 -2.922 0.000 9.571" Properties=species:S:1:pos:R:3 pbc="T T T"
Ac 0.958 1.031 2.137
Ac 4.269 3.092 7.434
Er 0.091 3.092 8.637
Er 5.136 1.031 0.934
Sc -0.585 1.031 5.946
Sc 5.813 3.092 3.625
Se -1.798 1.031 8.481
Se 0.309 3.092 4.470
Se 3.442 3.092 1.933
Se 1.786 1.031 7.639
Se 4.919 1.031 5.101
Se 7.025 3.092 1.091
```

Summary:
formation energy (no corrections): -9.641 eV/f.u.

---

Crystalline NdY5Tm12 at its relaxed geometry, computed with GGA-PBE.

```
18
Lattice="5.562 -8.577 0.000 5.562 8.577 0.000 -0.009 0.000 5.904" Properties=species:S:1:pos:R:3 pbc="T T T"
Nd 0.000 0.000 0.000
Y 5.557 5.716 2.952
Y 5.562 2.875 0.000
Y 5.557 0.000 2.952
Y 5.562 -2.875 0.000
Y 5.557 -5.716 2.952
Tm 1.959 2.870 0.280
Tm 3.618 2.864 3.231
Tm 1.959 0.000 2.678
Tm 3.634 0.000 5.634
Tm 1.959 -2.870 0.280
Tm 3.618 -2.864 3.231
Tm 7.497 2.864 2.673
Tm 9.155 2.870 5.624
Tm 7.481 0.000 0.270
Tm 9.156 0.000 3.226
Tm 7.497 -2.864 2.673
Tm 9.155 -2.870 5.624
```

Summary:
DFT formation energy: 0.12 eV per atom

---

Crystalline Si2RhAu at its relaxed geometry, computed with GGA-PBE.

```
16
Lattice="6.201 0.000 0.000 0.000 6.201 0.000 0.000 0.000 6.201" Properties=species:S:1:pos:R:3 pbc="T T T"
Si 1.550 1.550 1.550
Si 1.550 1.550 4.651
Si 1.550 4.651 1.550
Si 1.550 4.651 4.651
Si 4.651 1.550 1.550
Si 4.651 1.550 4.651
Si 4.651 4.651 1.550
Si 4.651 4.651 4.651
Rh 0.000 0.000 0.000
Rh 0.000 3.101 3.101
Rh 3.101 0.000 3.101
Rh 3.101 3.101 0.000
Au 0.000 0.000 3.101
Au 0.000 3.101 0.000
Au 3.101 0.000 0.000
Au 3.101 3.101 3.101
```

Summary:
distance to the lowest polymorph of the same formula: 1.29 eV/f.u.
formation energy (no corrections): 0.155 eV/f.u.

---

Crystalline Y6TlRh5 at its relaxed geometry, computed with GGA-PBE.

```
12
Lattice="4.876 0.000 0.000 0.000 7.191 0.000 -2.415 0.000 7.332" Properties=species:S:1:pos:R:3 pbc="T T T"
Y 0.000 1.677 0.000
Y 0.000 5.514 0.000
Y 0.014 1.760 4.807
Y 0.014 5.431 4.807
Y 2.446 1.760 2.525
Y 2.446 5.431 2.525
Tl 2.438 3.596 0.000
Rh 0.006 3.596 2.413
Rh 0.007 0.000 2.451
Rh 2.438 0.000 0.000
Rh 2.454 0.000 4.881
Rh 2.455 3.596 4.919
```

Summary:
DFT formation energy: -0.72 eV per atom

---

Crystalline Ba2Li3PdO6 at its relaxed geometry, computed with GGA-PBE.

```
12
Lattice="2.978 -5.931 0.000 2.978 5.931 0.000 -1.883 0.000 4.805" Properties=species:S:1:pos:R:3 pbc="T T T"
Ba 2.978 3.887 0.000
Ba 2.978 -3.887 0.000
Li -0.941 0.000 2.403
Li 2.037 1.135 2.403
Li 2.037 -1.135 2.403
Pd 2.978 0.000 0.000
O 0.387 1.453 3.514
O 1.232 0.000 1.051
O 0.387 -1.453 3.514
O 3.686 1.453 1.292
O 2.841 0.000 3.754
O 3.686 -1.453 1.292
```

Summary:
formation energy (no corrections): -19.147 eV/f.u.

---

Crystalline TiPdF2 at its relaxed geometry, computed with GGA-PBE.

```
12
Lattice="2.737 0.000 0.000 -1.368 2.370 0.000 0.000 0.000 28.960" Properties=species:S:1:pos:R:3 pbc="T T T"
Ti 0.000 0.000 0.000
Ti 0.000 1.580 19.307
Ti 1.368 0.790 9.653
Pd 0.000 0.000 14.480
Pd 0.000 1.580 4.827
Pd 1.368 0.790 24.134
F 0.000 0.000 11.024
F 0.000 0.000 17.936
F 0.000 1.580 1.371
F 0.000 1.580 8.283
F 1.368 0.790 20.678
F 1.368 0.790 27.589
```

Summary:
distance to the lowest polymorph of the same formula: 0.00 eV/f.u.
formation energy (no corrections): -6.957 eV/f.u.